DFT (PBE with a Hubbard U) results for a relaxed structure of BaMn3O6. Values from VASP.

- space-group type = C2/m, No. 12
- volume (Å³/cell) = 247
- electronic total energy (eV/atom) = -7.184
- total magnetic moment (μB/atom) = 1.099

```
&SYSTEM
  ibrav = 0, nat = 20, ntyp = 3
/
ATOMIC_SPECIES
Ba 137.33 Ba.upf
Mn 54.94 Mn.upf
O 16.00 O.upf
CELL_PARAMETERS angstrom
10.641 -2.028 0.000
10.641 2.028 0.000
-0.830 0.000 5.727
ATOMIC_POSITIONS crystal
Ba 0.067 0.067 0.285
Ba 0.933 0.933 0.715
Mn 0.294 0.294 0.149
Mn 0.294 0.294 0.650
Mn 0.436 0.436 0.217
Mn 0.564 0.564 0.783
Mn 0.706 0.706 0.350
Mn 0.706 0.706 0.851
O 0.063 0.063 0.780
O 0.227 0.227 0.361
O 0.230 0.230 0.865
O 0.355 0.355 0.428
O 0.357 0.357 0.940
O 0.500 0.500 0.000
O 0.500 0.500 0.500
O 0.643 0.643 0.060
O 0.645 0.645 0.572
O 0.770 0.770 0.135
O 0.773 0.773 0.639
O 0.937 0.937 0.220
```